Record 1
This record from Alexandria describes crystalline Te2PbBr at its relaxed geometry. The functional is GGA-PBEsol.

Lattice parameters (Å, degrees): 3.882 4.830 6.960 110.30 106.19 90.00
Sites, in units of the cell vectors:
Pb 0.000 0.500 0.000
Te 0.733 0.733 0.466
Te 0.267 0.267 0.534
Br 0.500 0.000 0.000

Output
E above lowest polymorph: 0.00 eV/f.u.
Magnetic moment: 0.000 μB per cell
E: -3.486 eV/atom
Calculated volume: 116.9 Å³ per cell
Calculated density: 7706 kg/m3
ΔE_f (raw): -0.26 eV per atom

Record 2
This record from Alexandria describes crystalline TePbBr at its relaxed geometry. The functional is GGA-PBEsol.

Lattice parameters (Å, degrees): 3.584 3.584 7.591 103.65 103.65 90.00
Sites, in units of the cell vectors:
Pb 0.343 0.343 0.685
Te 0.687 0.687 0.375
Br 0.970 0.970 0.940

Output
Magnetic moment: 0.000 μB per cell
E: -3.431 eV/atom
Calculated volume: 91.9 Å³ per cell
Calculated density: 7491 kg/m3
ΔE_f (raw): -0.30 eV per atom

Record 3
This record from Alexandria describes crystalline TePbBr2 at its relaxed geometry. The functional is GGA-PBEsol.

Lattice parameters (Å, degrees): 4.562 4.865 4.865 90.00 90.00 90.00
Sites, in units of the cell vectors:
Pb 0.500 0.500 0.500
Te 0.500 0.000 0.000
Br 0.000 0.000 0.500
Br 0.000 0.500 0.000

Output
E above lowest polymorph: 0.11 eV/f.u.
Magnetic moment: 0.000 μB per cell
E: -2.972 eV/atom
Calculated volume: 108.0 Å³ per cell
Calculated density: 7607 kg/m3
ΔE_f (raw): -0.16 eV per atom

Record 4
This record from Alexandria describes crystalline Te2PbBr at its relaxed geometry. The functional is GGA-PBEsol.

Lattice parameters (Å, degrees): 3.297 5.948 6.624 63.32 85.94 80.92
Sites, in units of the cell vectors:
Pb 0.500 0.000 0.000
Te 0.000 0.000 0.500
Te 0.000 0.500 0.500
Br 0.500 0.500 0.000

Output
E above lowest polymorph: 0.71 eV/f.u.
Magnetic moment: 0.000 μB per cell
E: -3.308 eV/atom
Calculated volume: 114.6 Å³ per cell
Calculated density: 7857 kg/m3
ΔE_f (raw): -0.08 eV per atom

Please write out number 3 again, unchanged.
This record from Alexandria describes crystalline TePbBr2 at its relaxed geometry. The functional is GGA-PBEsol.

Lattice parameters (Å, degrees): 4.562 4.865 4.865 90.00 90.00 90.00
Sites, in units of the cell vectors:
Pb 0.500 0.500 0.500
Te 0.500 0.000 0.000
Br 0.000 0.000 0.500
Br 0.000 0.500 0.000

Output
E above lowest polymorph: 0.11 eV/f.u.
Magnetic moment: 0.000 μB per cell
E: -2.972 eV/atom
Calculated volume: 108.0 Å³ per cell
Calculated density: 7607 kg/m3
ΔE_f (raw): -0.16 eV per atom